Here is crystalline Ga2CuSe at its relaxed geometry from Alexandria. Energies are from PBE.

Lattice parameters (Å, degrees): 4.756 4.756 4.756 60.00 60.00 60.00
Sites, in units of the cell vectors:
Ga  0.250  0.250  0.250
Ga  0.750  0.750  0.750
Cu  0.000  0.000  0.000
Se  0.500  0.500  0.500

As for the excess energy over the best structure of this formula in the dataset: 0.228 eV per atom.

***

Here is crystalline GaCuSe3 at its relaxed geometry from Alexandria. Energies are from PBE.

Lattice parameters (Å, degrees): 4.967 4.967 4.967 90.00 90.00 90.00
Sites, in units of the cell vectors:
Ga  0.000  0.000  0.000
Cu  0.500  0.500  0.500
Se  0.000  0.000  0.500
Se  0.000  0.500  0.000
Se  0.500  0.000  0.000

As for the excess energy over the best structure of this formula in the dataset: 0.868 eV per atom.

***

Here is crystalline Ga7Cu3Se12 at its relaxed geometry from Alexandria. Energies are from PBE.

Lattice parameters (Å, degrees): 10.619 10.619 15.849 124.09 124.09 21.49
Sites, in units of the cell vectors:
Ga  0.000  0.000  0.000
Ga  0.002  0.002  0.504
Ga  0.011  0.011  0.758
Ga  0.333  0.333  0.997
Ga  0.336  0.336  0.241
Ga  0.663  0.663  0.250
Ga  0.673  0.673  0.493
Cu  0.337  0.337  0.504
Cu  0.340  0.340  0.763
Cu  0.674  0.674  0.763
Se  0.252  0.252  0.812
Se  0.253  0.253  0.061
Se  0.256  0.256  0.315
Se  0.260  0.260  0.573
Se  0.583  0.583  0.311
Se  0.591  0.591  0.060
Se  0.593  0.593  0.571
Se  0.593  0.593  0.827
Se  0.919  0.919  0.566
Se  0.920  0.920  0.813
Se  0.925  0.925  0.074
Se  0.926  0.926  0.314

***

Here is crystalline GaCu3Se at its relaxed geometry from Alexandria. Energies are from PBE.

Lattice parameters (Å, degrees): 4.633 4.633 4.633 90.00 90.00 90.00
Sites, in units of the cell vectors:
Ga  0.000  0.000  0.000
Cu  0.000  0.500  0.500
Cu  0.500  0.000  0.500
Cu  0.500  0.500  0.000
Se  0.500  0.500  0.500

As for the excess energy over the best structure of this formula in the dataset: 0.000 eV per atom.

***

Here is crystalline GaCu2SnSe4 at its relaxed geometry from Alexandria. Energies are from PBE.

Lattice parameters (Å, degrees): 7.025 7.025 7.025 130.06 130.06 73.31
Sites, in units of the cell vectors:
Ga  0.000  0.000  0.000
Cu  0.250  0.750  0.500
Cu  0.750  0.250  0.500
Sn  0.500  0.500  0.000
Se  0.088  0.088  0.454
Se  0.366  0.912  0.000
Se  0.634  0.634  0.546
Se  0.912  0.366  0.000

***

Here is crystalline SrGaCu2Se4 at its relaxed geometry from Alexandria. Energies are from PBE.

Lattice parameters (Å, degrees): 6.293 6.293 6.293 115.04 114.97 98.89
Sites, in units of the cell vectors:
Sr  0.000  0.000  0.000
Ga  0.500  0.500  0.000
Cu  0.252  0.752  0.500
Cu  0.748  0.248  0.500
Se  0.119  0.119  0.588
Se  0.470  0.881  0.000
Se  0.530  0.531  0.412
Se  0.881  0.469  0.000

***

Here is crystalline SrGa2CuSe4 at its relaxed geometry from Alexandria. Energies are from PBE.

Lattice parameters (Å, degrees): 6.217 6.217 6.217 114.13 107.35 107.04
Sites, in units of the cell vectors:
Sr  0.000  0.000  0.000
Ga  0.186  0.686  0.500
Ga  0.814  0.314  0.500
Cu  0.500  0.500  0.000
Se  0.157  0.577  0.049
Se  0.473  0.423  0.580
Se  0.527  0.108  0.951
Se  0.843  0.892  0.420

***

Here is crystalline GaCuTeSe at its relaxed geometry from Alexandria. Energies are from PBE.

Lattice parameters (Å, degrees): 4.212 4.212 7.189 107.10 107.10 59.85
Sites, in units of the cell vectors:
Ga  0.000  0.000  0.000
Cu  0.503  0.503  0.509
Te  0.871  0.871  0.613
Se  0.381  0.381  0.144

As for the excess energy over the best structure of this formula in the dataset: 0.065 eV per atom.

***

Here is crystalline GaCuTeSe at its relaxed geometry from Alexandria. Energies are from PBE.

Lattice parameters (Å, degrees): 7.185 7.185 7.185 131.70 131.50 70.86
Sites, in units of the cell vectors:
Ga  0.131  0.381  0.750
Ga  0.369  0.119  0.250
Cu  0.637  0.887  0.750
Cu  0.863  0.613  0.250
Te  0.250  0.983  0.733
Te  0.750  0.517  0.767
Se  0.502  0.750  0.252
Se  0.998  0.250  0.248

As for the excess energy over the best structure of this formula in the dataset: 0.000 eV per atom.

***

Here is crystalline Tl2GaCu3Se4 at its relaxed geometry from Alexandria. Energies are from PBE.

Lattice parameters (Å, degrees): 7.618 7.618 5.635 90.00 90.00 136.07
Sites, in units of the cell vectors:
Tl  0.000  0.500  0.245
Tl  0.500  0.000  0.755
Ga  0.500  0.500  0.000
Cu  0.000  0.000  0.000
Cu  0.000  0.000  0.500
Cu  0.500  0.500  0.500
Se  0.146  0.362  0.754
Se  0.362  0.146  0.246
Se  0.638  0.854  0.246
Se  0.854  0.638  0.754

***

Uncorrected formation energy, record by record: 0.2050; 0.6022; -0.5025; 0.4614; -0.3524; -0.7322; -0.6895; -0.2986; -0.3640; -0.3178 eV per atom